Record 1
This record from the Alexandria database describes a geometry-optimized CeMg9Ag2 structure. The functional is GGA-PBE.

Properties
Total DFT energy (no corrections) (eV/atom): -2.261
Total magnetic moment (μB/f.u.): 1.182
Formation energy from the elements (kJ/mol of formula units): -110.5
ρ (Mg/m³): 3.51
Space group: I4_1/amd, No. 141

a b c (Å): 7.6138 9.2686 9.2686
angles (deg): 80.29 65.75 65.75
With the nearest neighbours (Å) after each atom.
Fractional positions:
Mg: 0.1423 0.4219 0.1784  2 Ag 2.88, 7 Mg 2.91-3.21
Ce: 0.2500 0.5000 0.5000  18 Mg 3.65-3.90
Mg: 0.0074 0.9219 0.6784  2 Ag 2.88, 7 Mg 2.91-3.21
Mg: 0.0000 0.0000 0.0000  4 Ag 3.14, 8 Mg 3.16
Ag: 0.3750 0.7500 0.7500  10 Mg 2.88-3.14
Mg: 0.7500 0.5000 0.5000  4 Ag 3.14, 8 Mg 3.16
Mg: 0.1423 0.1784 0.4219  2 Ag 2.88, 7 Mg 2.91-3.21
Mg: 0.0074 0.6784 0.9219  2 Ag 2.88, 7 Mg 2.91-3.21
Mg: 0.3142 0.6784 0.0781  2 Ag 2.88, 7 Mg 2.91-3.21
Mg: 0.4358 0.8216 0.4219  2 Ag 2.88, 7 Mg 2.91-3.21
Ag: 0.8750 0.7500 0.2500  10 Mg 2.88-3.14
Ag: 0.8750 0.2500 0.2500  10 Mg 2.88-3.14
Mg: 0.7426 0.5781 0.8216  2 Ag 2.88, 7 Mg 2.91-3.21
Mg: 0.7426 0.8216 0.5781  2 Ag 2.88, 7 Mg 2.91-3.21
Mg: 0.4358 0.4219 0.8216  2 Ag 2.88, 7 Mg 2.91-3.21
Mg: 0.6793 0.5781 0.1784  2 Ag 2.88, 7 Mg 2.91-3.21
Mg: 0.6077 0.0781 0.3216  2 Ag 2.88, 7 Mg 2.91-3.21
Mg: 0.6793 0.1784 0.5781  2 Ag 2.88, 7 Mg 2.91-3.21
Ag: 0.8750 0.2500 0.7500  10 Mg 2.88-3.14
Ce: 0.5000 0.0000 0.0000  18 Mg 3.65-3.90
Mg: 0.0707 0.9219 0.3216  2 Ag 2.88, 7 Mg 2.91-3.21
Mg: 0.3142 0.0781 0.6784  2 Ag 2.88, 7 Mg 2.91-3.21
Mg: 0.6077 0.3216 0.0781  2 Ag 2.88, 7 Mg 2.91-3.21
Mg: 0.0707 0.3216 0.9219  2 Ag 2.88, 7 Mg 2.91-3.21

***

Record 2
This record from the Alexandria database describes a geometry-optimized Pm2Pr3Pb4 structure. The functional is GGA-PBE.

Properties
Total DFT energy (no corrections) (eV/atom): -4.789
Offset from the most stable computed form (eV/atom): 0.000
Total magnetic moment (μB/f.u.): 0.000
Formation energy from the elements (kJ/mol of formula units): -427.1
ρ (Mg/m³): 8.69
Space group: C2/m, No. 12

a b c (Å): 5.1221 6.9448 8.9271
angles (deg): 103.75 106.67 90.00
With the nearest neighbours (Å) after each atom.
Fractional positions:
Pr: 0.1149 0.5764 0.2299  7 Pb 3.36-3.56
Pb: 0.5054 0.2850 0.0107  1 Pb 3.04, 2 Pr 3.22, 2 Pm 3.37
Pb: 0.2509 0.3003 0.5018  3 Pm 3.14-3.32, 3 Pr 3.36-3.40
Pr: 0.8851 0.4236 0.7701  7 Pb 3.36-3.56
Pb: 0.4946 0.7150 0.9893  1 Pb 3.04, 2 Pr 3.22, 2 Pm 3.37
Pm: 0.6654 0.0826 0.3308  5 Pb 3.14-3.37
Pb: 0.7491 0.6997 0.4982  3 Pm 3.14-3.32, 3 Pr 3.36-3.40
Pr: 0.0000 0.0000 0.0000  4 Pb 3.22
Pm: 0.3346 0.9174 0.6692  5 Pb 3.14-3.37

***

Record 3
This record from the Alexandria database describes a geometry-optimized CsSn2Rh structure. The functional is GGA-PBE.

Properties
Total DFT energy (no corrections) (eV/atom): -4.196
Total magnetic moment (μB/f.u.): 0.000
Formation energy from the elements (kJ/mol of formula units): -55.5
ρ (Mg/m³): 4.62
Space group: I-42d, No. 122

a b c (Å): 6.8680 6.8680 8.6994
angles (deg): 66.75 66.75 90.00
With the nearest neighbours (Å) after each atom.
Fractional positions:
Cs: 0.0000 0.0000 0.0000  8 Sn 4.24-4.25
Sn: 0.3750 0.6259 0.7500  2 Rh 2.49
Sn: 0.3759 0.6250 0.2500  2 Rh 2.49
Sn: 0.8750 0.6241 0.7500  2 Rh 2.49
Sn: 0.3741 0.1250 0.2500  2 Rh 2.49
Cs: 0.7500 0.2500 0.5000  8 Sn 4.24-4.25
Rh: 0.2500 0.7500 0.5000  4 Sn 2.49
Rh: 0.5000 0.5000 0.0000  4 Sn 2.49

***

Record 4
This record from the Alexandria database describes a geometry-optimized Sc6Ni2N structure. The functional is GGA-PBE.

Properties
Total DFT energy (no corrections) (eV/atom): -7.092
Total magnetic moment (μB/f.u.): 0.000
E_form (uncorrected) (eV/atom): -0.661
ρ (Mg/m³): 4.09
Space group: P2_1/c, No. 14

a b c (Å): 5.9814 6.2535 8.7138
angles (deg): 90.00 89.47 90.00
With the nearest neighbours (Å) after each atom.
Fractional positions:
Sc: 0.6966 0.1887 0.4471  1 N 2.22
Sc: 0.8034 0.6887 0.0529  1 N 2.22
Sc: 0.3956 0.5312 0.2439  1 N 2.22
Sc: 0.8126 0.7008 0.4453  1 N 2.23
Ni: 0.0249 0.5695 0.7524  6 Sc 2.56-2.83
Sc: 0.1874 0.2992 0.5547  1 N 2.23
Sc: 0.6874 0.2008 0.0547  1 N 2.23
Sc: 0.3126 0.7992 0.9453  1 N 2.23
Sc: 0.1044 0.0312 0.2561  1 N 2.22
Ni: 0.5249 0.9305 0.2524  6 Sc 2.56-2.83
Sc: 0.1966 0.3113 0.9471  1 N 2.22
Ni: 0.9751 0.4305 0.2476  6 Sc 2.56-2.83
Sc: 0.3034 0.8113 0.5529  1 N 2.22
Sc: 0.6044 0.4688 0.7561  1 N 2.22
N: 0.0000 0.0000 0.5000  6 Sc 2.22-2.23
Sc: 0.8956 0.9688 0.7439  1 N 2.22
N: 0.5000 0.5000 0.0000  6 Sc 2.22-2.23
Ni: 0.4751 0.0695 0.7476  6 Sc 2.56-2.83

***

Record 5
This record from the Alexandria database describes a geometry-optimized Li3TbZn8 structure. The functional is GGA-PBE.

Properties
Total DFT energy (no corrections) (eV/atom): -1.927
Total magnetic moment (μB/f.u.): 0.000
Formation energy from the elements (kJ/mol of formula units): -247.6
ρ (Mg/m³): 5.73
Space group: R3m, No. 160

a b c (Å): 5.2072 5.2072 9.1809
angles (deg): 73.53 73.53 60.00
With the nearest neighbours (Å) after each atom.
Fractional positions:
Zn: 0.1867 0.1867 0.4398  6 Zn 2.65-2.70
Tb: 0.8755 0.8755 0.3734  12 Zn 3.06-3.15, 4 Li 3.26-3.33
Li: 0.3746 0.3746 0.8763  12 Zn 3.03-3.06, 4 Li 3.09-3.16
Zn: 0.4395 0.9407 0.1804  6 Zn 2.60-2.70
Zn: 0.6884 0.6884 0.9349  6 Zn 2.59-2.61
Zn: 0.9407 0.4395 0.1804  6 Zn 2.60-2.70
Zn: 0.9368 0.4345 0.6919  6 Zn 2.59-2.65
Zn: 0.4395 0.4395 0.1804  6 Zn 2.60-2.70
Zn: 0.9368 0.9368 0.6919  6 Zn 2.59-2.65
Li: 0.0037 0.0037 0.9890  12 Zn 2.98-3.09, 3 Li 3.16, 1 Tb 3.33
Li: 0.4934 0.4934 0.5197  12 Zn 3.00-3.31, 1 Li 3.09, 3 Tb 3.26
Zn: 0.4345 0.9368 0.6919  6 Zn 2.59-2.65

***

Record 6
This record from the Alexandria database describes a geometry-optimized HoEr2Te structure. The functional is GGA-PBE.

Properties
Total DFT energy (no corrections) (eV/atom): -4.843
Offset from the most stable computed form (eV/atom): 0.000
Total magnetic moment (μB/f.u.): 0.000
E_form (uncorrected) (eV/atom): -0.632
ρ (Mg/m³): 9.08
Space group: Cmcm, No. 63

a b c (Å): 3.9020 6.3247 9.7669
angles (deg): 90.00 90.00 107.97
With the nearest neighbours (Å) after each atom.
Fractional positions:
Er: 0.6346 0.2693 0.0366  3 Te 3.10-3.21, 3 Er 3.32-3.47
Te: 0.7649 0.5297 0.7500  6 Er 3.10-3.21, 2 Ho 3.19
Er: 0.3654 0.7307 0.5366  3 Te 3.10-3.21, 3 Er 3.32-3.47
Ho: 0.9446 0.8889 0.2500  3 Te 3.19-3.50, 4 Er 3.54
Te: 0.2351 0.4703 0.2500  6 Er 3.10-3.21, 2 Ho 3.19
Er: 0.6346 0.2693 0.4634  3 Te 3.10-3.21, 3 Er 3.32-3.47
Er: 0.3654 0.7307 0.9634  3 Te 3.10-3.21, 3 Er 3.32-3.47
Ho: 0.0554 0.1111 0.7500  3 Te 3.19-3.50, 4 Er 3.54

***

Record 7
This record from the Alexandria database describes a geometry-optimized Tm4Cd3Ru structure. The functional is GGA-PBE.

Properties
Total DFT energy (no corrections) (eV/atom): -4.116
Total magnetic moment (μB/f.u.): 0.001
Formation energy from the elements (kJ/mol of formula units): -291.6
ρ (Mg/m³): 9.78
Space group: P4/mmm, No. 123

a b c (Å): 3.4445 3.4445 15.9501
angles (deg): 90.00 90.00 90.00
With the nearest neighbours (Å) after each atom.
Fractional positions:
Tm: 0.0000 0.0000 0.1011  4 Ru 2.92, 1 Tm 3.22
Cd: 0.5000 0.5000 0.5000  8 Tm 3.22, 4 Cd 3.44
Cd: 0.5000 0.5000 0.7611  8 Tm 3.19-3.28, 4 Cd 3.44
Cd: 0.5000 0.5000 0.2389  8 Tm 3.19-3.28, 4 Cd 3.44
Tm: 0.0000 0.0000 0.8989  4 Ru 2.92, 1 Tm 3.22
Tm: 0.0000 0.0000 0.3680  8 Cd 3.19-3.22, 4 Tm 3.44
Tm: 0.0000 0.0000 0.6320  8 Cd 3.19-3.22, 4 Tm 3.44
Ru: 0.5000 0.5000 0.0000  8 Tm 2.92

***

Record 8
This record from the Alexandria database describes a geometry-optimized Pr3HoTc structure. The functional is GGA-PBE.

Properties
Total DFT energy (no corrections) (eV/atom): -5.618
Total magnetic moment (μB/f.u.): 0.002
Formation energy from the elements (kJ/mol of formula units): 115.2
ρ (Mg/m³): 6.69
Space group: Pm-3m, No. 221

a b c (Å): 5.5425 5.5425 5.5425
angles (deg): 90.00 90.00 90.00
With the nearest neighbours (Å) after each atom.
Fractional positions:
Pr: 0.0000 0.0000 0.5000  2 Tc 2.77
Tc: 0.0000 0.0000 0.0000  6 Pr 2.77
Pr: 0.0000 0.5000 0.0000  2 Tc 2.77
Ho: 0.5000 0.5000 0.5000  12 Pr 3.92
Pr: 0.5000 0.0000 0.0000  2 Tc 2.77

***

Record 9
This record from the Alexandria database describes a geometry-optimized Dy8Tl2Fe structure. The functional is GGA-PBE.

Properties
Total DFT energy (no corrections) (eV/atom): -4.658
Total magnetic moment (μB/f.u.): 0.000
Formation energy from the elements (kJ/mol of formula units): -118.7
ρ (Mg/m³): 9.72
Space group: C2/m, No. 12

a b c (Å): 5.5290 6.8788 9.0275
angles (deg): 111.63 107.83 90.00
With the nearest neighbours (Å) after each atom.
Fractional positions:
Dy: 0.6331 0.9012 0.2662  1 Fe 2.63
Dy: 0.3669 0.0988 0.7338  1 Fe 2.63
Dy: 0.0078 0.7686 0.0157  2 Fe 3.22, 2 Tl 3.26-3.57, 8 Dy 3.30-3.60
Dy: 0.9922 0.2314 0.9843  2 Fe 3.22, 2 Tl 3.26-3.57, 8 Dy 3.30-3.60
Dy: 0.6038 0.3934 0.2077  1 Fe 2.60
Dy: 0.8041 0.7624 0.6082  3 Tl 3.21-3.38, 8 Dy 3.39-3.58
Tl: 0.1834 0.6914 0.3668  10 Dy 3.21-3.57
Dy: 0.1959 0.2376 0.3918  3 Tl 3.21-3.38, 8 Dy 3.39-3.58
Dy: 0.3962 0.6066 0.7923  1 Fe 2.60
Tl: 0.8166 0.3086 0.6332  10 Dy 3.21-3.57
Fe: 0.5000 0.0000 0.0000  4 Dy 2.60-2.63

***

Record 10
This record from the Alexandria database describes a geometry-optimized SrOsW2 structure. The functional is GGA-PBE.

Properties
Total DFT energy (no corrections) (eV/atom): -8.347
Offset from the most stable computed form (eV/atom): 0.672
Total magnetic moment (μB/f.u.): 0.000
Formation energy from the elements (kJ/mol of formula units): 523.8
ρ (Mg/m³): 14.97
Space group: P4/mmm, No. 123

a b c (Å): 4.8854 4.8854 3.0011
angles (deg): 90.00 90.00 90.00
With the nearest neighbours (Å) after each atom.
Fractional positions:
W: 0.5000 0.5000 0.0000  4 Os 2.87, 4 Sr 2.87, 2 W 3.00
Os: 0.5000 0.0000 0.5000  8 W 2.87, 2 Os 3.00
Sr: 0.0000 0.5000 0.5000  8 W 2.87, 2 Sr 3.00
W: 0.0000 0.0000 0.0000  4 Sr 2.87, 4 Os 2.87, 2 W 3.00